VCo2SiO6 | GGA+U | relaxed

Cell: 4.8880 4.8880 13.5964 Å, 90.00 90.00 120.00°
With the nearest neighbours (Å) after each atom.
Space group R3 (No. 146, hexagonal axes)
One atom of each set of equivalent atoms:
V 0.0000 0.0000 0.0000  6 O 1.99-2.13
Co 0.0000 0.0000 0.1946  6 O 1.93-1.94
Co 0.0000 0.0000 0.7149  6 O 2.02-2.21
Si 0.0000 0.0000 0.5109  6 O 1.79-1.83
O 0.0001 0.7025 0.5928  1 Si 1.83, 1 Co 1.94, 1 V 1.99
O 0.0443 0.3344 0.1085  1 Si 1.79, 1 Co 1.93

raw total energy = -7.026 eV per atom
calculated density = 5.19 g cm⁻³
Fermi-level density of states = 0.0000 states/eV/atom
total magnetization = 15.00 μB/cell
volume = 94 Å³/f.u.